No. 1
A plane-wave DFT calculation with PBE was carried out for YP2Se after structural relaxation.

a = 3.525 Å, b = 3.525 Å, c = 7.902 Å
α = 90.00°, β = 90.00°, γ = 90.00°
Element x y z (fractional)
Y: 0.500 0.500 0.749
Se: 0.000 0.000 0.585
P: 0.500 0.500 0.101
P: 0.000 0.000 0.065

=====

No. 2
A plane-wave DFT calculation with PBE was carried out for YPSe3 after structural relaxation.

## Properties
Energy above the lowest structure with this stoichiometry (meV/atom): 760

a = 5.420 Å, b = 5.420 Å, c = 5.420 Å
α = 90.00°, β = 90.00°, γ = 90.00°
Element x y z (fractional)
Se: 0.000 0.500 0.000
Se: 0.000 0.000 0.500
Se: 0.500 0.000 0.000
Y: 0.000 0.000 0.000
P: 0.500 0.500 0.500

=====

No. 3
A plane-wave DFT calculation with PBE was carried out for YP2Se after structural relaxation.

a = 4.614 Å, b = 4.614 Å, c = 3.738 Å
α = 90.00°, β = 90.00°, γ = 101.74°
Element x y z (fractional)
P: 0.000 0.000 0.000
P: 0.500 0.500 0.000
Y: 0.000 0.500 0.500
Se: 0.500 0.000 0.500

=====

No. 4
A plane-wave DFT calculation with PBE was carried out for YP2Se after structural relaxation.

a = 5.781 Å, b = 5.781 Å, c = 5.781 Å
α = 140.27°, β = 140.31°, γ = 57.41°
Element x y z (fractional)
P: 0.000 0.000 0.000
P: 0.500 0.500 0.000
Se: 0.250 0.750 0.500
Y: 0.750 0.250 0.500

=====

No. 5
A plane-wave DFT calculation with PBE was carried out for YP2Se after structural relaxation.

a = 4.875 Å, b = 4.879 Å, c = 4.866 Å
α = 70.28°, β = 71.17°, γ = 109.79°
Element x y z (fractional)
Se: 0.000 0.500 0.500
Y: 0.500 0.500 0.000
P: 0.000 0.000 0.000
P: 0.500 0.000 0.500

=====

No. 6
A plane-wave DFT calculation with PBE was carried out for YP2Se after structural relaxation.

a = 5.670 Å, b = 5.670 Å, c = 5.670 Å
α = 138.92°, β = 138.92°, γ = 59.50°
Element x y z (fractional)
Y: 0.750 0.250 0.500
P: 0.000 0.000 0.000
P: 0.250 0.750 0.500
Se: 0.500 0.500 0.000

=====

No. 7
A plane-wave DFT calculation with PBE was carried out for Y4PSe2 after structural relaxation.

## Properties
Energy above the lowest structure with this stoichiometry (meV/atom): 0

a = 3.968 Å, b = 3.968 Å, c = 13.403 Å
α = 81.49°, β = 81.49°, γ = 60.00°
Element x y z (fractional)
Y: 0.294 0.294 0.119
Y: 0.706 0.706 0.881
Y: 0.131 0.131 0.606
Y: 0.869 0.869 0.394
Se: 0.419 0.419 0.743
Se: 0.581 0.581 0.257
P: 0.000 0.000 0.000

=====

No. 8
A plane-wave DFT calculation with PBE was carried out for Y3P2Se after structural relaxation.

## Properties
Energy above the lowest structure with this stoichiometry (meV/atom): 0

a = 4.028 Å, b = 5.717 Å, c = 7.002 Å
α = 114.10°, β = 106.72°, γ = 90.00°
Element x y z (fractional)
Se: 0.500 0.500 0.500
Y: 0.177 0.677 0.854
Y: 0.500 0.000 0.500
Y: 0.823 0.323 0.146
P: 0.836 0.836 0.172
P: 0.164 0.164 0.828

=====

No. 9
A plane-wave DFT calculation with PBE was carried out for YP2Se after structural relaxation.

a = 5.233 Å, b = 5.233 Å, c = 5.233 Å
α = 139.87°, β = 121.95°, γ = 72.91°
Element x y z (fractional)
Se: 0.468 0.468 0.000
P: 0.223 0.723 0.500
P: 0.053 0.053 0.000
Y: 0.756 0.256 0.500

=====

No. 10
A plane-wave DFT calculation with PBE was carried out for Y3P5Se12 after structural relaxation.

a = 13.779 Å, b = 13.779 Å, c = 13.779 Å
α = 109.47°, β = 109.47°, γ = 109.47°
Element x y z (fractional)
Se: 0.036 0.408 0.827
Se: 0.592 0.964 0.673
Se: 0.209 0.673 0.081
Se: 0.373 0.964 0.791
Se: 0.827 0.908 0.036
Se: 0.791 0.327 0.919
Se: 0.464 0.673 0.092
Se: 0.408 0.036 0.327
Se: 0.964 0.592 0.173
Se: 0.919 0.092 0.627
Se: 0.536 0.327 0.908
Se: 0.092 0.919 0.127
Se: 0.908 0.081 0.873
Se: 0.127 0.419 0.092
Se: 0.627 0.036 0.209
Se: 0.036 0.627 0.709
Se: 0.373 0.408 0.081
Se: 0.964 0.373 0.291
Se: 0.327 0.536 0.408
Se: 0.908 0.827 0.536
Se: 0.791 0.464 0.373
Se: 0.291 0.873 0.964
Se: 0.092 0.173 0.464
Se: 0.709 0.581 0.173
Se: 0.408 0.373 0.581
Se: 0.081 0.908 0.373
Se: 0.536 0.209 0.127
Se: 0.209 0.536 0.627
Se: 0.827 0.919 0.291
Se: 0.581 0.873 0.408
Se: 0.327 0.791 0.419
Se: 0.581 0.709 0.673
Se: 0.081 0.173 0.209
Se: 0.419 0.127 0.592
Se: 0.627 0.592 0.919
Se: 0.673 0.209 0.581
Se: 0.873 0.581 0.908
Se: 0.173 0.092 0.964
Se: 0.873 0.291 0.464
Se: 0.173 0.081 0.709
Se: 0.919 0.827 0.791
Se: 0.419 0.291 0.327
Se: 0.709 0.127 0.036
Se: 0.291 0.419 0.827
Se: 0.127 0.709 0.536
Se: 0.464 0.791 0.873
Se: 0.592 0.627 0.419
Se: 0.673 0.464 0.592
P: 0.500 0.000 0.500
P: 0.500 0.000 0.000
P: 0.250 0.875 0.125
P: 0.125 0.375 0.250
P: 0.750 0.125 0.875
P: 0.875 0.250 0.625
P: 0.000 0.000 0.000
P: 0.625 0.875 0.250
P: 0.500 0.500 0.500
P: 0.125 0.750 0.375
P: 0.375 0.125 0.750
P: 0.000 0.000 0.500
P: 0.000 0.500 0.500
P: 0.375 0.250 0.125
P: 0.750 0.625 0.375
P: 0.250 0.375 0.625
P: 0.875 0.625 0.750
P: 0.625 0.750 0.875
P: 0.500 0.500 0.000
P: 0.000 0.500 0.000
Y: 0.750 0.875 0.625
Y: 0.750 0.375 0.125
Y: 0.250 0.625 0.875
Y: 0.875 0.750 0.125
Y: 0.625 0.375 0.750
Y: 0.250 0.125 0.375
Y: 0.625 0.250 0.375
Y: 0.375 0.750 0.625
Y: 0.375 0.625 0.250
Y: 0.875 0.125 0.250
Y: 0.125 0.875 0.750
Y: 0.125 0.250 0.875

=====

No. 11
A plane-wave DFT calculation with PBE was carried out for Y4PSe2 after structural relaxation.

## Properties
Energy above the lowest structure with this stoichiometry (meV/atom): 494

a = 5.284 Å, b = 5.284 Å, c = 8.020 Å
α = 70.77°, β = 70.77°, γ = 90.00°
Element x y z (fractional)
Y: 0.194 0.194 0.612
Y: 0.000 0.500 0.000
Y: 0.806 0.806 0.388
Y: 0.500 0.000 0.000
Se: 0.387 0.387 0.226
Se: 0.613 0.613 0.774
P: 0.000 0.000 0.000

=====

No. 12
A plane-wave DFT calculation with PBE was carried out for YP2Se after structural relaxation.

a = 5.544 Å, b = 5.544 Å, c = 3.946 Å
α = 90.00°, β = 90.00°, γ = 42.00°
Element x y z (fractional)
P: 0.997 0.997 0.875
P: 0.787 0.787 0.875
Se: 0.503 0.503 0.375
Y: 0.213 0.213 0.375

=====

No. 13
A plane-wave DFT calculation with PBE was carried out for YP4Se after structural relaxation.

a = 5.395 Å, b = 5.395 Å, c = 5.395 Å
α = 60.00°, β = 60.00°, γ = 60.00°
Element x y z (fractional)
P: 0.393 0.393 0.393
P: 0.393 0.393 0.822
P: 0.822 0.393 0.393
P: 0.393 0.822 0.393
Se: 0.750 0.750 0.750
Y: 0.000 0.000 0.000

=====

No. 14
A plane-wave DFT calculation with PBE was carried out for Y8PSe6 after structural relaxation.

a = 4.111 Å, b = 10.303 Å, c = 10.303 Å
α = 120.00°, β = 90.00°, γ = 90.00°
Element x y z (fractional)
Se: 0.245 0.128 0.476
Se: 0.245 0.349 0.872
Se: 0.755 0.651 0.128
Se: 0.755 0.872 0.524
Se: 0.755 0.476 0.349
Se: 0.245 0.524 0.651
Y: 0.738 0.972 0.271
Y: 0.738 0.729 0.702
Y: 0.255 0.667 0.333
Y: 0.262 0.702 0.972
Y: 0.745 0.333 0.667
Y: 0.738 0.298 0.028
Y: 0.262 0.028 0.729
Y: 0.262 0.271 0.298
P: 0.500 0.000 0.000

=====

No. 15
A plane-wave DFT calculation with PBE was carried out for YPSe3 after structural relaxation.

## Properties
Energy above the lowest structure with this stoichiometry (meV/atom): 0

a = 4.854 Å, b = 4.854 Å, c = 4.854 Å
α = 90.00°, β = 90.00°, γ = 90.00°
Element x y z (fractional)
Se: 0.000 0.500 0.000
Se: 0.500 0.000 0.000
Se: 0.000 0.000 0.500
Y: 0.500 0.500 0.500
P: 0.000 0.000 0.000

=====

No. 16
A plane-wave DFT calculation with PBE was carried out for Y3P2Se after structural relaxation.

## Properties
Energy above the lowest structure with this stoichiometry (meV/atom): 22

a = 4.037 Å, b = 4.037 Å, c = 9.025 Å
α = 102.92°, β = 102.92°, γ = 90.02°
Element x y z (fractional)
Y: 0.934 0.936 0.874
Y: 0.262 0.264 0.530
Y: 0.606 0.607 0.218
Se: 0.434 0.436 0.874
P: 0.099 0.100 0.203
P: 0.770 0.771 0.545

=====

No. 17
A plane-wave DFT calculation with PBE was carried out for YP2Se after structural relaxation.

a = 5.642 Å, b = 5.642 Å, c = 8.021 Å
α = 69.41°, β = 69.41°, γ = 90.00°
Element x y z (fractional)
P: 0.875 0.838 0.750
P: 0.588 0.125 0.250
P: 0.375 0.412 0.750
P: 0.162 0.625 0.250
Y: 0.750 0.250 0.500
Y: 0.000 0.000 0.000
Se: 0.250 0.750 0.500
Se: 0.500 0.500 0.000

=====

No. 18
A plane-wave DFT calculation with PBE was carried out for YP3Se after structural relaxation.

## Properties
Energy above the lowest structure with this stoichiometry (meV/atom): 0

a = 4.755 Å, b = 4.755 Å, c = 4.755 Å
α = 90.00°, β = 90.00°, γ = 90.00°
Element x y z (fractional)
Y: 0.500 0.500 0.500
P: 0.000 0.500 0.000
P: 0.000 0.000 0.500
P: 0.500 0.000 0.000
Se: 0.000 0.000 0.000

=====

No. 19
A plane-wave DFT calculation with PBE was carried out for YP2Se after structural relaxation.

a = 6.002 Å, b = 6.002 Å, c = 4.328 Å
α = 86.84°, β = 86.84°, γ = 35.00°
Element x y z (fractional)
Y: 0.250 0.250 0.250
P: 0.501 0.501 0.410
P: 0.999 0.999 0.090
Se: 0.750 0.750 0.750

=====

No. 20
A plane-wave DFT calculation with PBE was carried out for YP2Se after structural relaxation.

a = 7.371 Å, b = 7.371 Å, c = 7.371 Å
α = 30.86°, β = 30.86°, γ = 30.86°
Element x y z (fractional)
Y: 0.744 0.744 0.744
P: 0.987 0.987 0.987
P: 0.284 0.284 0.284
Se: 0.486 0.486 0.486

=====

No. 21
A plane-wave DFT calculation with PBE was carried out for YP2Se after structural relaxation.

a = 3.735 Å, b = 4.065 Å, c = 5.981 Å
α = 68.76°, β = 90.00°, γ = 90.00°
Element x y z (fractional)
Y: 0.500 0.750 0.750
P: 0.000 0.122 0.947
P: 0.000 0.378 0.553
Se: 0.500 0.250 0.250

=====

No. 22
A plane-wave DFT calculation with PBE was carried out for YP2Se after structural relaxation.

a = 4.840 Å, b = 4.840 Å, c = 4.840 Å
α = 60.00°, β = 60.00°, γ = 60.00°
Element x y z (fractional)
Se: 0.500 0.500 0.500
P: 0.000 0.000 0.000
P: 0.250 0.250 0.250
Y: 0.750 0.750 0.750

=====

No. 23
A plane-wave DFT calculation with PBE was carried out for YP2Se after structural relaxation.

a = 3.997 Å, b = 4.029 Å, c = 5.539 Å
α = 67.93°, β = 90.00°, γ = 90.00°
Element x y z (fractional)
P: 0.500 0.188 0.131
P: 0.000 0.925 0.104
Se: 0.000 0.491 0.546
Y: 0.500 0.896 0.719

=====

No. 24
A plane-wave DFT calculation with PBE was carried out for YP2Se after structural relaxation.

a = 6.676 Å, b = 6.676 Å, c = 6.676 Å
α = 34.67°, β = 34.67°, γ = 34.67°
Element x y z (fractional)
Se: 0.250 0.250 0.250
Y: 0.750 0.750 0.750
P: 0.995 0.995 0.995
P: 0.505 0.505 0.505

=====

Number 1: density 3.9 g/cm³, raw formation energy -0.60 eV/atom, total DFT energy (no corrections) -0.426 Ry per atom. Number 2: density 3.7 g/cm³, raw formation energy 0.28 eV/atom, total DFT energy (no corrections) -0.308 Ry per atom. Number 3: density 4.9 g/cm³, raw formation energy -0.37 eV/atom, total DFT energy (no corrections) -0.409 Ry per atom. Number 4: density 4.9 g/cm³, raw formation energy -0.49 eV/atom, total DFT energy (no corrections) -0.417 Ry per atom. Number 5: density 4.3 g/cm³, raw formation energy -0.50 eV/atom, total DFT energy (no corrections) -0.418 Ry per atom. Number 6: density 4.9 g/cm³, raw formation energy -0.42 eV/atom, total DFT energy (no corrections) -0.413 Ry per atom. Number 7: density 5.0 g/cm³, raw formation energy -1.51 eV/atom, total DFT energy (no corrections) -0.513 Ry per atom. Number 8: density 4.8 g/cm³, raw formation energy -1.76 eV/atom, total DFT energy (no corrections) -0.542 Ry per atom. Number 9: density 5.0 g/cm³, raw formation energy -0.66 eV/atom, total DFT energy (no corrections) -0.430 Ry per atom. Number 10: density 4.5 g/cm³, raw formation energy -0.52 eV/atom, total DFT energy (no corrections) -0.363 Ry per atom. Number 11: density 4.6 g/cm³, raw formation energy -1.02 eV/atom, total DFT energy (no corrections) -0.476 Ry per atom. Number 12: density 4.7 g/cm³, raw formation energy -0.81 eV/atom, total DFT energy (no corrections) -0.441 Ry per atom. Number 13: density 4.4 g/cm³, raw formation energy -0.12 eV/atom, total DFT energy (no corrections) -0.396 Ry per atom. Number 14: density 5.3 g/cm³, raw formation energy -1.32 eV/atom, total DFT energy (no corrections) -0.479 Ry per atom. Number 15: density 5.2 g/cm³, raw formation energy -0.48 eV/atom, total DFT energy (no corrections) -0.363 Ry per atom. Number 16: density 4.9 g/cm³, raw formation energy -1.73 eV/atom, total DFT energy (no corrections) -0.540 Ry per atom. Number 17: density 3.4 g/cm³, raw formation energy -0.09 eV/atom, total DFT energy (no corrections) -0.388 Ry per atom. Number 18: density 4.0 g/cm³, raw formation energy 0.26 eV/atom, total DFT energy (no corrections) -0.366 Ry per atom. Number 19: density 4.3 g/cm³, raw formation energy -0.71 eV/atom, total DFT energy (no corrections) -0.434 Ry per atom. Number 20: density 4.1 g/cm³, raw formation energy -0.67 eV/atom, total DFT energy (no corrections) -0.431 Ry per atom. Number 21: density 4.5 g/cm³, raw formation energy -0.60 eV/atom, total DFT energy (no corrections) -0.426 Ry per atom. Number 22: density 4.8 g/cm³, raw formation energy -0.17 eV/atom, total DFT energy (no corrections) -0.394 Ry per atom. Number 23: density 4.6 g/cm³, raw formation energy -0.86 eV/atom, total DFT energy (no corrections) -0.445 Ry per atom. Number 24: density 4.4 g/cm³, raw formation energy -0.20 eV/atom, total DFT energy (no corrections) -0.396 Ry per atom.